1.
A relaxed BaCaS2N crystal. Source: Alexandria via LeMat-Bulk, functional PBE.

Properties
raw formation energy	140.7	meV/atom
energy above the most stable polymorph in this dataset	709	meV/atom

Cell and atoms, written as extended XYZ:
```
5
Lattice="5.730 0.000 0.000 0.000 5.730 0.000 0.000 0.000 4.701" Properties=species:S:1:pos:R:3 pbc="T T T"
Ba 0.000 0.000 0.000
Ca 2.865 2.865 2.350
S 0.000 2.865 0.000
S 2.865 0.000 0.000
N 0.000 0.000 2.350
```

---

2.
A relaxed PrYIrRh crystal. Source: Alexandria via LeMat-Bulk, functional PBE.

Properties
DFT formation energy	-0.684	eV/atom

Cell and atoms, written as extended XYZ:
```
16
Lattice="7.011 0.000 0.000 0.000 7.011 0.000 0.000 0.000 7.011" Properties=species:S:1:pos:R:3 pbc="T T T"
Pr 0.000 0.000 0.000
Pr 0.000 3.506 3.506
Pr 3.506 0.000 3.506
Pr 3.506 3.506 0.000
Y 0.000 0.000 3.506
Y 0.000 3.506 0.000
Y 3.506 0.000 0.000
Y 3.506 3.506 3.506
Ir 1.753 1.753 1.753
Ir 1.753 5.258 5.258
Ir 5.258 1.753 5.258
Ir 5.258 5.258 1.753
Rh 1.753 1.753 5.258
Rh 1.753 5.258 1.753
Rh 5.258 1.753 1.753
Rh 5.258 5.258 5.258
```

---

3.
A relaxed SrTaNi2Ru crystal. Source: Alexandria via LeMat-Bulk, functional PBE.

Properties
DFT formation energy	0.586	eV/atom

Cell and atoms, written as extended XYZ:
```
5
Lattice="4.761 0.000 0.000 0.000 4.761 0.000 0.000 0.000 4.716" Properties=species:S:1:pos:R:3 pbc="T T T"
Sr 0.000 0.000 0.000
Ta 2.380 2.380 2.358
Ni 0.000 2.380 2.358
Ni 2.380 0.000 2.358
Ru 2.380 2.380 0.000
```

---

4.
A relaxed MgReGe2Bi crystal. Source: Alexandria via LeMat-Bulk, functional PBE.

Properties
DFT formation energy	1.667	eV/atom

Cell and atoms, written as extended XYZ:
```
5
Lattice="5.474 0.000 0.000 0.000 5.474 0.000 0.000 0.000 5.162" Properties=species:S:1:pos:R:3 pbc="T T T"
Mg 0.000 0.000 0.000
Re 2.737 2.737 0.000
Ge 0.000 2.737 2.581
Ge 2.737 0.000 2.581
Bi 2.737 2.737 2.581
```